The following is a DFT calculation (PBE-GGA) of KPdSe2O8 after structural relaxation.

```
data_KPdSe2O8
_chemical_formula_sum 'K1 Pd1 Se2 O8'
_cell_length_a 5.4681
_cell_length_b 5.4681
_cell_length_c 7.1688
_cell_angle_alpha 90.00
_cell_angle_beta 90.00
_cell_angle_gamma 120.00
_symmetry_space_group_name_H-M 'P -3 m 1'
_symmetry_Int_Tables_number 164
_symmetry_space_group_name_Hall '-P 3 2"'
loop_
_atom_site_label
_atom_site_type_symbol
_atom_site_fract_x
_atom_site_fract_y
_atom_site_fract_z
K1 K 0.0000 0.0000 0.0000
Pd1 Pd 0.0000 0.0000 0.5000
Se1 Se 0.3333 0.6667 0.2437
O1 O 0.1622 0.3244 0.3085
O2 O 0.3333 0.6667 0.0143
```

Calculated values
V: 15.5 Å³/atom
total energy: -60.32 eV/cell
crystal system: trigonal



The following is a DFT calculation (PBE-GGA) of KPdSe2O8 after structural relaxation.

```
data_KPdSe2O8
_chemical_formula_sum 'K1 Pd1 Se2 O8'
_cell_length_a 4.808
_cell_length_b 4.920
_cell_length_c 7.753
_cell_angle_alpha 82.18
_cell_angle_beta 83.67
_cell_angle_gamma 69.95
_symmetry_space_group_name_H-M 'P -1'
_symmetry_Int_Tables_number 2
_symmetry_space_group_name_Hall '-P 1'
loop_
_atom_site_label
_atom_site_type_symbol
_atom_site_fract_x
_atom_site_fract_y
_atom_site_fract_z
K1 K 0.000 0.000 0.000
Pd1 Pd 0.000 0.000 0.500
Se1 Se 0.390 0.388 0.287
O1 O 0.234 0.741 0.705
O2 O 0.251 0.255 0.480
O3 O 0.286 0.750 0.296
O4 O 0.306 0.316 0.103
```

Calculated values
V: 14.2 Å³/atom
total energy: -61.34 eV/cell
crystal system: triclinic